1.
Ce3PrY2Te6 | PBE-GGA | relaxed

extended XYZ file:
```
12
Lattice="3.840 -6.657 0.000 3.840 6.657 0.000 -2.563 0.000 7.343" Properties=species:S:1:pos:R:3 pbc="T T T"
Ce 0.000 0.000 0.000
Ce 3.840 2.144 0.000
Ce 3.840 -2.144 0.000
Pr 2.558 0.000 3.671
Y 2.558 4.422 3.671
Y 2.558 -4.422 3.671
Te 1.244 2.276 1.866
Te -0.074 0.000 5.432
Te 1.244 -2.276 1.866
Te 3.873 2.276 5.477
Te 5.191 0.000 1.911
Te 3.873 -2.276 5.477
```

Computed properties:
Symmetry: No. 12
Energy relative to the elements, uncorrected, eV/atom: -1.37
Density of states at the Fermi level, states/eV/f.u.: 23.31
Magnetic moment, μB/cell: 3.513
Calculated volume, Å³ per atom: 31.28
VASP energy, eV per atom: -5.8997

2.
Ce2PrY3Te6 | PBE-GGA | relaxed

extended XYZ file:
```
12
Lattice="9.715 -2.196 0.000 9.715 2.196 0.000 -2.250 0.000 8.681" Properties=species:S:1:pos:R:3 pbc="T T T"
Ce 2.493 0.000 2.901
Ce 14.686 0.000 5.779
Pr 9.715 0.000 0.000
Y 1.324 0.000 7.226
Y 8.590 0.000 4.340
Y 15.856 0.000 1.454
Te -1.642 0.000 6.438
Te 4.329 0.000 8.000
Te 5.602 0.000 3.562
Te 11.577 0.000 5.118
Te 12.850 0.000 0.680
Te 18.822 0.000 2.243
```

Computed properties:
Symmetry: No. 12
Energy relative to the elements, uncorrected, eV/atom: -1.36
Density of states at the Fermi level, states/eV/f.u.: 17.36
Magnetic moment, μB/cell: 2.603
Calculated volume, Å³ per atom: 30.86
VASP energy, eV per atom: -5.9361

3.
CePr3Y3Te8 | PBE-GGA | relaxed

extended XYZ file:
```
15
Lattice="7.677 -4.436 0.000 7.677 4.436 0.000 -5.111 0.000 7.261" Properties=species:S:1:pos:R:3 pbc="T T T"
Ce 0.000 0.000 0.000
Pr -2.556 0.000 3.630
Pr 1.283 2.218 3.630
Pr 1.283 -2.218 3.630
Y 3.839 2.218 0.000
Y 3.839 -2.218 0.000
Y 7.677 0.000 0.000
Te 0.005 0.000 5.540
Te 2.687 0.000 1.807
Te 6.338 2.110 1.806
Te 3.905 2.110 5.455
Te 6.338 -2.110 1.806
Te 3.905 -2.110 5.455
Te 7.557 0.000 5.454
Te 10.238 0.000 1.721
```

Computed properties:
Symmetry: No. 12
Energy relative to the elements, uncorrected, eV/atom: -1.41
Density of states at the Fermi level, states/eV/f.u.: 14.70
Magnetic moment, μB/cell: 1.448
Calculated volume, Å³ per atom: 32.97
VASP energy, eV per atom: -5.7326

4.
CePr4Y3Te8 | PBE-GGA | relaxed

extended XYZ file:
```
16
Lattice="4.441 2.564 7.374 -4.441 2.564 7.374 0.000 -5.128 7.374" Properties=species:S:1:pos:R:3 pbc="T T T"
Ce 0.000 0.000 0.000
Pr -4.441 0.000 11.060
Pr -2.220 1.282 3.687
Pr 2.220 1.282 3.687
Pr 0.000 0.000 11.060
Y -2.220 -1.282 7.374
Y -2.220 1.282 14.747
Y 0.000 2.564 7.374
Te 0.000 -2.531 9.136
Te -2.192 1.266 9.136
Te 0.000 0.000 5.635
Te -2.192 -1.266 12.984
Te 2.192 1.266 9.136
Te 0.000 0.000 16.486
Te 2.192 -1.266 12.984
Te 0.000 2.531 12.984
```

Computed properties:
Symmetry: No. 166
Energy relative to the elements, uncorrected, eV/atom: -1.38
Density of states at the Fermi level, states/eV/f.u.: 16.61
Magnetic moment, μB/cell: 1.101
Calculated volume, Å³ per atom: 31.49
VASP energy, eV per atom: -5.7331

5.
Ce4PrY3Te8 | PBE-GGA | relaxed

extended XYZ file:
```
16
Lattice="4.427 2.556 7.349 -4.427 2.556 7.349 0.000 -5.111 7.349" Properties=species:S:1:pos:R:3 pbc="T T T"
Ce 0.000 0.000 0.000
Ce -2.213 -1.278 7.349
Ce -2.213 1.278 14.698
Ce 0.000 2.556 7.349
Pr 0.000 0.000 11.024
Y -4.427 0.000 11.024
Y -2.213 1.278 3.675
Y 2.213 1.278 3.675
Te -2.255 -1.302 12.816
Te 0.000 0.000 5.433
Te 0.000 -2.604 9.231
Te -2.255 1.302 9.231
Te 2.255 -1.302 12.816
Te 0.000 2.604 12.816
Te 0.000 0.000 16.614
Te 2.255 1.302 9.231
```

Computed properties:
Symmetry: No. 166
Energy relative to the elements, uncorrected, eV/atom: -1.36
Density of states at the Fermi level, states/eV/f.u.: 30.69
Magnetic moment, μB/cell: 4.957
Calculated volume, Å³ per atom: 31.18
VASP energy, eV per atom: -5.9278

6.
Ce4Pr3YTe8 | PBE-GGA | relaxed

extended XYZ file:
```
16
Lattice="4.477 2.585 7.388 -4.477 2.585 7.388 0.000 -5.170 7.388" Properties=species:S:1:pos:R:3 pbc="T T T"
Ce 0.000 0.000 0.000
Ce -2.239 -1.292 7.388
Ce -2.239 1.292 14.775
Ce 0.000 2.585 7.388
Pr -4.477 0.000 11.081
Pr -2.239 1.292 3.694
Pr 2.239 1.292 3.694
Y 0.000 0.000 11.081
Te 0.000 0.000 5.565
Te 0.000 -2.535 9.247
Te -2.196 1.268 9.247
Te -2.196 -1.268 12.916
Te 2.196 1.268 9.247
Te 2.196 -1.268 12.916
Te 0.000 2.535 12.916
Te 0.000 0.000 16.598
```

Computed properties:
Symmetry: No. 166
Energy relative to the elements, uncorrected, eV/atom: -1.39
Density of states at the Fermi level, states/eV/f.u.: 31.52
Magnetic moment, μB/cell: 4.810
Calculated volume, Å³ per atom: 32.06
VASP energy, eV per atom: -5.7470

7.
CePr2Th | PBE-GGA | relaxed

extended XYZ file:
```
4
Lattice="5.038 0.000 0.000 0.000 5.038 0.000 0.000 0.000 5.212" Properties=species:S:1:pos:R:3 pbc="T T T"
Ce 0.000 0.000 0.000
Pr 0.000 2.519 2.606
Pr 2.519 0.000 2.606
Th 2.519 2.519 0.000
```

Computed properties:
ΔH_f (0 K), meV/atom: 112.0
Symmetry: No. 123
Density of states at the Fermi level, states/eV/f.u.: 8.76
Magnetic moment, μB/cell: 0.852
Calculated volume, Å³ per atom: 33.08
VASP energy, eV per atom: -5.6162
ΔE to the lowest computed polymorph, meV/atom: 9.1

8.
Ce2PrTh9 | PBE-GGA | relaxed

extended XYZ file:
```
12
Lattice="5.004 0.000 0.000 0.000 5.004 0.000 0.000 0.000 15.073" Properties=species:S:1:pos:R:3 pbc="T T T"
Ce 0.000 0.000 2.480
Ce 0.000 0.000 12.593
Pr 0.000 0.000 7.537
Th 0.000 2.502 0.000
Th 0.000 2.502 4.935
Th 0.000 2.502 10.138
Th 2.502 0.000 0.000
Th 2.502 0.000 4.935
Th 2.502 0.000 10.138
Th 2.502 2.502 2.457
Th 2.502 2.502 7.537
Th 2.502 2.502 12.616
```

Computed properties:
ΔH_f (0 K), meV/atom: 38.1
Symmetry: No. 123
Density of states at the Fermi level, states/eV/f.u.: 21.84
Magnetic moment, μB/cell: 0.000
Calculated volume, Å³ per atom: 31.46
VASP energy, eV per atom: -6.9141

9.
Ce2PrTh | PBE-GGA | relaxed

extended XYZ file:
```
4
Lattice="1.755 1.013 11.688 -1.755 1.013 11.688 0.000 -2.026 11.688" Properties=species:S:1:pos:R:3 pbc="T T T"
Ce 0.000 0.000 0.000
Ce 0.000 0.000 5.708
Pr 0.000 0.000 20.427
Th 0.000 0.000 14.538
```

Computed properties:
ΔH_f (0 K), meV/atom: 104.0
Symmetry: No. 160
Density of states at the Fermi level, states/eV/f.u.: 10.15
Magnetic moment, μB/cell: 0.718
Calculated volume, Å³ per atom: 31.16
VASP energy, eV per atom: -5.9128
ΔE to the lowest computed polymorph, meV/atom: 47.2

10.
Ce2PrTh | PBE-GGA | relaxed

extended XYZ file:
```
4
Lattice="4.937 0.000 0.000 0.000 4.937 0.000 0.000 0.000 4.987" Properties=species:S:1:pos:R:3 pbc="T T T"
Ce 0.000 2.468 0.000
Ce 2.468 0.000 0.000
Pr 0.000 0.000 2.493
Th 2.468 2.468 2.493
```

Computed properties:
ΔH_f (0 K), meV/atom: 99.0
Symmetry: No. 123
Density of states at the Fermi level, states/eV/f.u.: 9.29
Magnetic moment, μB/cell: 0.004
Calculated volume, Å³ per atom: 30.38
VASP energy, eV per atom: -5.9178
ΔE to the lowest computed polymorph, meV/atom: 42.1

11.
CePrTh | PBE-GGA | relaxed

extended XYZ file:
```
3
Lattice="3.561 0.000 0.000 -1.781 3.084 0.000 0.000 0.000 8.753" Properties=species:S:1:pos:R:3 pbc="T T T"
Ce 0.000 0.000 0.000
Pr 0.000 2.056 5.730
Th 1.781 1.028 2.746
```

Computed properties:
ΔH_f (0 K), meV/atom: 70.2
Symmetry: No. 156
Density of states at the Fermi level, states/eV/f.u.: 6.69
Magnetic moment, μB/cell: 0.535
Calculated volume, Å³ per atom: 32.04
VASP energy, eV per atom: -5.9742
ΔE to the lowest computed polymorph, meV/atom: 23.9

12.
Ce2PrTh | PBE-GGA | relaxed

extended XYZ file:
```
4
Lattice="1.731 1.000 12.192 -1.731 1.000 12.192 0.000 -1.999 12.192" Properties=species:S:1:pos:R:3 pbc="T T T"
Ce 0.000 0.000 3.286
Ce 0.000 0.000 33.290
Pr 0.000 0.000 0.000
Th 0.000 0.000 18.288
```

Computed properties:
ΔH_f (0 K), meV/atom: 193.0
Symmetry: No. 166
Density of states at the Fermi level, states/eV/f.u.: 10.84
Magnetic moment, μB/cell: 1.618
Calculated volume, Å³ per atom: 31.65
VASP energy, eV per atom: -5.8237
ΔE to the lowest computed polymorph, meV/atom: 136.2